NpMnIn2O6 | PBE with a Hubbard U | relaxed

## Properties
- VASP energy (eV/cell) = -74.834
- mass density (g/cm³) = 7.5
- total magnetization (Bohr magnetons per cell) = 7.94

Structure (POSCAR):
```
NpMnIn2O6
1.0
2.820 1.628 4.998
-2.820 1.628 4.998
0.000 -3.256 4.998
Np Mn In O
1 1 2 6
direct
0.000 0.000 0.000 Np
0.503 0.503 0.503 Mn
0.291 0.291 0.291 In
0.789 0.789 0.789 In
0.099 0.402 0.694 O
0.196 0.898 0.600 O
0.402 0.694 0.099 O
0.600 0.196 0.898 O
0.694 0.099 0.402 O
0.898 0.600 0.196 O
```